VASP calculation (GGA-PBE) on a geometry-optimized NaPd6Pb8 structure.

Calculated values
The crystal system is trigonal. The value obtained for the formation energy is -0.182 eV/atom. The value obtained for the density of states at the Fermi level is 7.45 states/eV/f.u.

The structure in POSCAR format:
```
NaPd6Pb8
1.0
-6.1357 2.7267 -5.1335
1.2805 0.2598 -8.3502
-3.6296 -4.4286 -4.9718
Pb Pd Na
8 6 1
direct
0.5871 0.2001 0.3334 Pb
0.3306 0.3306 0.0083 Pb
0.6694 0.6694 0.9917 Pb
0.2001 0.8794 0.3334 Pb
0.7999 0.1206 0.6666 Pb
0.4129 0.7999 0.6666 Pb
0.1206 0.4129 0.6666 Pb
0.8794 0.5871 0.3334 Pb
0.4169 0.0567 0.8251 Pd
0.5831 0.9433 0.1749 Pd
0.2987 0.5831 0.1749 Pd
0.0567 0.7013 0.8251 Pd
0.9433 0.2987 0.1749 Pd
0.7013 0.4169 0.8251 Pd
0.0000 0.0000 0.0000 Na
```



VASP calculation (GGA-PBE) on a geometry-optimized PmPr6Sm2Ho3 structure.

Calculated values
The crystal system is monoclinic. The value obtained for the formation energy is 0.013 eV/atom. The value obtained for the density of states at the Fermi level is 14.59 states/eV/f.u.

The structure in POSCAR format:
```
PmPr6Sm2Ho3
1.0
6.3393 -0.0014 0.0095
-3.1693 5.4902 0.0095
-1.0722 -1.8565 11.7943
Ho Pr Sm Pm
3 6 2 1
direct
0.5000 0.5000 0.5000 Ho
0.1667 0.8333 0.5000 Ho
0.8333 0.1667 0.5000 Ho
0.4179 0.0845 0.2531 Pr
0.7510 0.7510 0.2531 Pr
0.0845 0.4179 0.2531 Pr
0.5821 0.9155 0.7469 Pr
0.2490 0.2490 0.7469 Pr
0.9155 0.5821 0.7469 Pr
0.6666 0.3334 0.0000 Sm
0.3334 0.6666 0.0000 Sm
0.0000 0.0000 0.0000 Pm
```



VASP calculation (GGA-PBE) on a geometry-optimized CuAg3 structure.

Calculated values
The crystal system is orthorhombic. The value obtained for the formation energy is 0.102 eV/atom. The value obtained for the density of states at the Fermi level is 1.51 states/eV/f.u.

The structure in POSCAR format:
```
CuAg3
1.0
5.7895 0.0000 0.0000
0.0000 4.6401 0.0000
0.0000 0.0000 4.9540
Ag Cu
6 2
direct
0.2491 0.0000 0.1665 Ag
0.2509 0.5000 0.8335 Ag
0.7509 0.0000 0.1665 Ag
0.7491 0.5000 0.8335 Ag
0.0000 0.5000 0.3463 Ag
0.5000 0.0000 0.6537 Ag
0.0000 0.0000 0.6673 Cu
0.5000 0.5000 0.3327 Cu
```



VASP calculation (GGA-PBE) on a geometry-optimized CrSiRu3 structure.

Calculated values
The crystal system is cubic. As for the raw formation energy: 973 meV per atom. The value obtained for the density of states at the Fermi level is 9.96 states/eV/f.u. As for the energy above the most stable polymorph in this dataset: 0.000 eV per formula unit.

The structure in POSCAR format:
```
CrSiRu3
1.0
4.3078 0.0000 0.0000
0.0000 4.3078 0.0000
0.0000 0.0000 4.3078
Ru Cr Si
3 1 1
direct
0.0000 0.0000 0.5000 Ru
0.5000 0.0000 0.0000 Ru
0.0000 0.5000 0.0000 Ru
0.5000 0.5000 0.5000 Cr
0.0000 0.0000 0.0000 Si
```



VASP calculation (GGA-PBE) on a geometry-optimized Be2RuRh structure.

Calculated values
The crystal system is monoclinic. The value obtained for the formation energy is -0.168 eV/atom. The value obtained for the density of states at the Fermi level is 2.01 states/eV/f.u.

The structure in POSCAR format:
```
Be2RuRh
1.0
4.4649 0.0044 0.0038
-1.2778 4.2782 0.0038
0.6328 0.8503 2.4040
Ru Be Rh
1 2 1
direct
0.0000 0.5000 0.5000 Ru
0.5000 0.5000 0.0000 Be
0.0000 0.0000 0.0000 Be
0.5000 0.0000 0.5000 Rh
```



VASP calculation (GGA-PBE) on a geometry-optimized SmDyH4 structure.

Calculated values
The crystal system is tetragonal. The value obtained for the density of states at the Fermi level is 1.97 states/eV/f.u. The electronic total energy is -53.693 eV/cell.

The structure in POSCAR format:
```
SmDyH4
1.0
4.8036 0.0000 -2.1601
-0.9714 4.7043 -2.1601
0.0230 0.0282 6.4722
H Dy Sm
8 2 2
direct
0.8750 0.8660 0.2500 H
0.3750 0.8660 0.2500 H
0.1340 0.1250 0.7500 H
0.6160 0.6250 0.7500 H
0.3750 0.3840 0.2500 H
0.8750 0.3840 0.2500 H
0.1340 0.6250 0.7500 H
0.6160 0.1250 0.7500 H
0.5000 0.5000 0.0000 Dy
0.2500 0.7500 0.5000 Dy
0.0000 0.0000 0.0000 Sm
0.7500 0.2500 0.5000 Sm
```